(1)
This record from Alexandria via LeMat-Bulk describes a relaxed LiGa3Pt crystal. The functional is PBE.

a b c (Å): 4.3360 5.2197 8.6089
angles (deg): 80.08 75.79 63.93
Last column: nearest neighbours and their distance in Å.
Element x y z (fractional)
1 Ga 0.5882 0.8754 0.7701  3 Pt 2.54-2.68, 2 Ga 2.66-2.68, 1 Li 2.85
2 Ga 0.3780 0.7888 0.2657  1 Pt 2.59, 4 Ga 2.75-2.85
3 Ga 0.7094 0.9446 0.4480  2 Pt 2.54-2.55, 5 Ga 2.64-2.79
4 Ga 0.7021 0.2433 0.1668  2 Pt 2.54-2.55, 5 Ga 2.64-2.78
5 Ga 0.8229 0.3136 0.8446  3 Pt 2.54-2.68, 2 Ga 2.66-2.68
6 Ga 0.0335 0.3994 0.3484  1 Pt 2.59, 4 Ga 2.75-2.85
7 Pt 0.0900 0.0323 0.5956  6 Ga 2.54-2.68, 1 Li 2.68
8 Pt 0.3208 0.1569 0.0191  6 Ga 2.54-2.68, 1 Li 2.68
9 Li 0.3517 0.4608 0.6313  2 Pt 2.68-2.97, 4 Ga 2.85-2.96
10 Li 0.0589 0.7290 0.9832  2 Pt 2.68-2.97, 4 Ga 2.85-2.95

Properties
ΔE to the lowest computed polymorph ... 0 meV/atom
SG ... P-1
N(E_F) ... 3.47 states/eV/cell
Formation enthalpy at 0 K ... -0.47 eV/atom
Uncorrected energy ... -38.80 eV per cell

(2)
This record from Alexandria via LeMat-Bulk describes a relaxed LiGa3Pt2 crystal. The functional is PBE.

a b c (Å): 5.4064 5.5616 8.0288
angles (deg): 110.26 109.67 90.00
Last column: nearest neighbours and their distance in Å.
Element x y z (fractional)
1 Ga 0.5000 0.2500 0.0000  4 Pt 2.56, 2 Ga 2.78
2 Ga 0.5000 0.7500 0.0000  4 Pt 2.56, 2 Ga 2.78
3 Ga 0.7845 0.0345 0.5690  4 Pt 2.52-2.63, 2 Ga 2.78
4 Ga 0.2155 0.9655 0.4310  4 Pt 2.52-2.63, 2 Ga 2.78
5 Ga 0.7845 0.5345 0.5690  4 Pt 2.52-2.63, 2 Ga 2.78
6 Ga 0.2155 0.4655 0.4310  4 Pt 2.52-2.63, 2 Ga 2.78
7 Li 0.0000 0.5000 0.0000  2 Pt 2.67, 2 Li 2.78
8 Li 0.0000 0.0000 0.0000  2 Pt 2.67, 2 Li 2.78
9 Pt 0.1957 0.8608 0.7216  6 Ga 2.52-2.63, 1 Li 2.67
10 Pt 0.5259 0.3608 0.7216  6 Ga 2.52-2.63, 1 Li 2.67
11 Pt 0.4741 0.6392 0.2784  6 Ga 2.52-2.63, 1 Li 2.67
12 Pt 0.8043 0.1392 0.2784  6 Ga 2.52-2.63, 1 Li 2.67

Properties
ΔE to the lowest computed polymorph ... 10 meV/atom
SG ... Ibam
N(E_F) ... 3.05 states/eV/cell
Formation enthalpy at 0 K ... -0.56 eV/atom
Uncorrected energy ... -52.92 eV per cell

(3)
This record from Alexandria via LeMat-Bulk describes a relaxed LiGa4Pt7 crystal. The functional is PBE.

a b c (Å): 4.4186 7.6079 6.4253
angles (deg): 81.60 69.89 73.12
Last column: nearest neighbours and their distance in Å.
Element x y z (fractional)
1 Pt 0.9232 0.3238 0.8298  1 Li 2.52, 5 Ga 2.54-2.71, 1 Pt 2.81
2 Pt 0.6425 0.4289 0.2860  5 Ga 2.56-2.75, 1 Pt 2.83
3 Pt 0.5000 0.0000 0.0000  2 Li 2.21
4 Pt 0.3575 0.5711 0.7140  5 Ga 2.56-2.75, 1 Pt 2.83
5 Pt 0.2146 0.1363 0.4345  4 Ga 2.49-2.58
6 Pt 0.7854 0.8637 0.5655  4 Ga 2.49-2.58
7 Pt 0.0768 0.6762 0.1702  1 Li 2.52, 5 Ga 2.54-2.71, 1 Pt 2.81
8 Ga 0.5796 0.2092 0.6316  8 Pt 2.56-2.71
9 Ga 0.7126 0.6625 0.9123  8 Pt 2.49-2.75
10 Ga 0.4204 0.7908 0.3684  8 Pt 2.56-2.71
11 Ga 0.2874 0.3375 0.0877  8 Pt 2.49-2.75
12 Li 0.0000 0.0000 0.0000  2 Pt 2.21

Properties
SG ... C2/m
N(E_F) ... 5.02 states/eV/cell
Formation enthalpy at 0 K ... -0.48 eV/atom
Uncorrected energy ... -62.10 eV per cell

(4)
This record from Alexandria via LeMat-Bulk describes a relaxed LiGa6Pt2 crystal. The functional is PBE.

a b c (Å): 4.2122 4.2130 10.0443
angles (deg): 90.00 90.00 119.99
Last column: nearest neighbours and their distance in Å.
Element x y z (fractional)
1 Ga 0.0001 0.0002 0.7859  3 Pt 2.66, 1 Li 2.87, 3 Ga 2.90
2 Ga 0.6666 0.3333 0.0568  1 Pt 2.65, 6 Ga 2.69-2.90
3 Ga 0.3334 0.6667 0.9432  1 Pt 2.65, 6 Ga 2.69-2.90
4 Ga 0.9999 0.9998 0.2141  3 Pt 2.66, 1 Li 2.87, 3 Ga 2.90
5 Ga 0.3333 0.6666 0.4048  4 Pt 2.58-2.76, 3 Li 2.61
6 Ga 0.6667 0.3334 0.5952  4 Pt 2.58-2.76, 3 Li 2.61
7 Pt 0.6666 0.3332 0.3205  8 Ga 2.58-2.76
8 Pt 0.3334 0.6668 0.6795  8 Ga 2.58-2.76
9 Li 0.0000 0.0000 0.5000  8 Ga 2.61-2.87

Properties
SG ... P-3m1
N(E_F) ... 3.47 states/eV/cell
Formation enthalpy at 0 K ... -0.45 eV/atom
Uncorrected energy ... -36.17 eV per cell

(5)
This record from Alexandria via LeMat-Bulk describes a relaxed LiGa8Pt2 crystal. The functional is PBE.

a b c (Å): 5.0653 6.8145 6.8145
angles (deg): 62.40 99.75 99.75
Last column: nearest neighbours and their distance in Å.
Element x y z (fractional)
1 Ga 0.1825 0.7965 0.7965  2 Pt 2.54, 1 Ga 2.71, 1 Li 2.71
2 Ga 0.6161 0.6104 0.1873  2 Pt 2.53-2.72, 2 Ga 2.69-2.84
3 Ga 0.8544 0.5826 0.5826  1 Pt 2.61, 6 Ga 2.65-2.86
4 Ga 0.3839 0.8127 0.3896  2 Pt 2.53-2.72, 2 Ga 2.69-2.84
5 Ga 0.8175 0.2035 0.2035  2 Pt 2.54, 1 Ga 2.71, 1 Li 2.71
6 Ga 0.3839 0.3896 0.8127  2 Pt 2.53-2.72, 2 Ga 2.69-2.84
7 Ga 0.6161 0.1873 0.6104  2 Pt 2.53-2.72, 2 Ga 2.69-2.84
8 Ga 0.1456 0.4174 0.4174  1 Pt 2.61, 6 Ga 2.65-2.86
9 Li 0.0000 0.0000 0.0000  6 Ga 2.71-2.90, 2 Pt 2.79
10 Pt 0.3267 0.2233 0.2233  7 Ga 2.53-2.72, 1 Li 2.79
11 Pt 0.6733 0.7767 0.7767  7 Ga 2.53-2.72, 1 Li 2.79

Properties
SG ... C2/m
N(E_F) ... 2.54 states/eV/cell
Formation enthalpy at 0 K ... -0.30 eV/atom
Uncorrected energy ... -41.52 eV per cell

(6)
This record from Alexandria via LeMat-Bulk describes a relaxed Li3Ga6Pt2 crystal. The functional is PBE.

a b c (Å): 4.9258 4.9269 10.2454
angles (deg): 98.22 56.84 116.23
Last column: nearest neighbours and their distance in Å.
Element x y z (fractional)
1 Ga 0.8218 0.6749 0.4996  2 Pt 2.62, 2 Ga 2.86-2.89
2 Ga 0.1782 0.3251 0.5004  2 Pt 2.62, 2 Ga 2.86-2.89
3 Ga 0.3801 0.0637 0.1586  2 Pt 2.56-2.60, 2 Ga 2.61, 2 Li 2.71-2.81
4 Ga 0.6199 0.9363 0.8414  2 Pt 2.56-2.60, 2 Ga 2.61, 2 Li 2.71-2.81
5 Ga 0.0965 0.4598 0.8418  2 Pt 2.56-2.60, 3 Ga 2.61-2.86, 2 Li 2.69-2.80
6 Ga 0.9035 0.5402 0.1582  2 Pt 2.56-2.60, 3 Ga 2.61-2.86, 2 Li 2.69-2.80
7 Pt 0.6948 0.4476 0.7542  6 Ga 2.56-2.62, 2 Li 2.69-2.76
8 Pt 0.3052 0.5524 0.2458  6 Ga 2.56-2.62, 2 Li 2.69-2.76
9 Li 0.0000 0.0000 0.0000  8 Ga 2.69-3.00, 2 Pt 2.90, 2 Li 2.95
10 Li 0.6786 0.0209 0.3405  2 Pt 2.69-2.76, 2 Li 2.72-2.95, 2 Ga 2.80-2.81
11 Li 0.3214 0.9791 0.6595  2 Pt 2.69-2.76, 2 Li 2.72-2.95, 2 Ga 2.80-2.81

Properties
SG ... P-1
N(E_F) ... 3.61 states/eV/cell
Formation enthalpy at 0 K ... -0.41 eV/atom
Uncorrected energy ... -40.53 eV per cell

(7)
This record from Alexandria via LeMat-Bulk describes a relaxed LiGa2Pt crystal. The functional is PBE.

a b c (Å): 2.8811 4.1203 5.4874
angles (deg): 90.00 108.37 90.00
Last column: nearest neighbours and their distance in Å.
Element x y z (fractional)
1 Ga 0.2557 0.5000 0.0012  4 Ga 2.65-2.91, 4 Pt 2.72-2.73, 2 Li 2.90
2 Ga 0.0270 0.5000 0.4933  2 Pt 2.56, 1 Ga 2.65, 4 Li 2.69-2.72
3 Pt 0.8721 0.0000 0.2018  6 Ga 2.56-2.73, 1 Li 2.71
4 Li 0.6494 0.0000 0.6846  6 Ga 2.69-2.90, 3 Pt 2.71-2.92, 2 Li 2.88

Properties
ΔE to the lowest computed polymorph ... 123 meV/atom
SG ... Pm
N(E_F) ... 1.41 states/eV/cell
Formation enthalpy at 0 K ... -0.50 eV/atom
Uncorrected energy ... -16.01 eV per cell

(8)
This record from Alexandria via LeMat-Bulk describes a relaxed LiGa3Pt crystal. The functional is PBE.

a b c (Å): 4.8657 4.8657 4.8657
angles (deg): 90.00 90.00 90.00
Last column: nearest neighbours and their distance in Å.
Element x y z (fractional)
1 Ga 0.0000 0.0000 0.5000  2 Pt 2.43
2 Ga 0.0000 0.5000 0.0000  2 Pt 2.43
3 Ga 0.5000 0.0000 0.0000  2 Pt 2.43
4 Pt 0.0000 0.0000 0.0000  6 Ga 2.43
5 Li 0.5000 0.5000 0.5000  12 Ga 3.44

Properties
ΔE to the lowest computed polymorph ... 321 meV/atom
SG ... Pm-3m
N(E_F) ... 3.22 states/eV/cell
Formation enthalpy at 0 K ... -0.15 eV/atom
Uncorrected energy ... -17.79 eV per cell

(9)
This record from Alexandria via LeMat-Bulk describes a relaxed Li5GaPt6 crystal. The functional is PBE.

a b c (Å): 4.2335 5.9175 7.3284
angles (deg): 113.81 107.47 90.00
Last column: nearest neighbours and their distance in Å.
Element x y z (fractional)
1 Pt 0.5000 0.7449 0.0000  6 Li 2.57-2.59, 2 Ga 2.60
2 Pt 0.1677 0.4201 0.3351  7 Li 2.56-2.59, 1 Ga 2.60
3 Pt 0.1677 0.9151 0.3351  7 Li 2.56-2.59, 1 Ga 2.60
4 Pt 0.5000 0.2551 0.0000  6 Li 2.57-2.59, 2 Ga 2.60
5 Pt 0.8323 0.0849 0.6649  7 Li 2.56-2.59, 1 Ga 2.60
6 Pt 0.8323 0.5799 0.6649  7 Li 2.56-2.59, 1 Ga 2.60
7 Li 0.0000 0.5000 0.0000  8 Pt 2.57-2.58
8 Li 0.3343 0.8342 0.6687  8 Pt 2.57-2.59
9 Li 0.6683 0.6684 0.3366  8 Pt 2.56-2.58
10 Li 0.3317 0.3316 0.6634  8 Pt 2.56-2.58
11 Li 0.6657 0.1658 0.3313  8 Pt 2.57-2.59
12 Ga 0.0000 0.0000 0.0000  8 Pt 2.60

Properties
SG ... C2/m
N(E_F) ... 2.53 states/eV/cell
Formation enthalpy at 0 K ... -0.61 eV/atom
Uncorrected energy ... -56.15 eV per cell

(10)
This record from Alexandria via LeMat-Bulk describes a relaxed Li3Ga4Pt4 crystal. The functional is PBE.

a b c (Å): 2.8372 4.4203 13.7351
angles (deg): 80.65 87.18 90.00
Last column: nearest neighbours and their distance in Å.
Element x y z (fractional)
1 Pt 0.2819 0.8156 0.3702  5 Ga 2.53-2.69
2 Pt 0.3315 0.4529 0.0963  2 Ga 2.52, 1 Pt 2.73, 3 Li 2.75-2.77
3 Pt 0.6685 0.5472 0.9037  2 Ga 2.52, 1 Pt 2.73, 3 Li 2.75-2.77
4 Pt 0.7182 0.1844 0.6299  5 Ga 2.53-2.69
5 Li 0.0000 0.0000 0.0000  4 Pt 2.75-2.76, 4 Ga 2.77-2.98, 2 Li 2.84
6 Li 0.8118 0.3633 0.2752  6 Pt 2.77-2.93, 6 Ga 2.84-2.97, 2 Li 2.84
7 Li 0.1882 0.6368 0.7248  6 Pt 2.77-2.93, 6 Ga 2.84-2.97, 2 Li 2.84
8 Ga 0.3812 0.9088 0.1839  3 Pt 2.52-2.53, 1 Li 2.77
9 Ga 0.6188 0.0913 0.8161  3 Pt 2.52-2.53, 1 Li 2.77
10 Ga 0.2581 0.2698 0.4609  4 Pt 2.53-2.69, 2 Ga 2.83
11 Ga 0.7419 0.7302 0.5391  4 Pt 2.53-2.69, 2 Ga 2.83

Properties
SG ... P-1
N(E_F) ... 3.10 states/eV/cell
Formation enthalpy at 0 K ... -0.57 eV/atom
Uncorrected energy ... -48.28 eV per cell

(11)
This record from Alexandria via LeMat-Bulk describes a relaxed LiGa2Pt crystal. The functional is PBE.

a b c (Å): 7.7136 7.7136 6.0172
angles (deg): 50.14 50.14 90.00
Last column: nearest neighbours and their distance in Å.
Element x y z (fractional)
1 Ga 0.3750 0.3139 0.7500  2 Pt 2.50, 2 Ga 2.71
2 Ga 0.0639 0.6250 0.2500  2 Pt 2.50, 2 Ga 2.71
3 Ga 0.6861 0.1250 0.2500  2 Pt 2.50, 2 Ga 2.71
4 Ga 0.8750 0.9361 0.7500  2 Pt 2.50, 2 Ga 2.71
5 Li 0.2500 0.7500 0.5000  2 Pt 2.54
6 Li 0.5000 0.5000 0.0000  2 Pt 2.54
7 Pt 0.0000 0.0000 0.0000  4 Ga 2.50, 2 Li 2.54
8 Pt 0.7500 0.2500 0.5000  4 Ga 2.50, 2 Li 2.54

Properties
ΔE to the lowest computed polymorph ... 301 meV/atom
SG ... I-42d
N(E_F) ... 2.94 states/eV/cell
Formation enthalpy at 0 K ... -0.32 eV/atom
Uncorrected energy ... -30.59 eV per cell

(12)
This record from Alexandria via LeMat-Bulk describes a relaxed LiGa8Pt6 crystal. The functional is PBE.

a b c (Å): 6.7825 6.7825 6.7825
angles (deg): 66.34 66.34 66.34
Last column: nearest neighbours and their distance in Å.
Element x y z (fractional)
1 Ga 0.8782 0.1986 0.5722  5 Pt 2.53-2.75
2 Ga 0.4278 0.1218 0.8014  5 Pt 2.53-2.75
3 Ga 0.1218 0.8014 0.4278  5 Pt 2.53-2.75
4 Ga 0.3342 0.3342 0.3342  6 Pt 2.60-2.61
5 Ga 0.1986 0.5722 0.8782  5 Pt 2.53-2.75
6 Ga 0.5722 0.8782 0.1986  5 Pt 2.53-2.75
7 Ga 0.6658 0.6658 0.6658  6 Pt 2.60-2.61
8 Ga 0.8014 0.4278 0.1218  5 Pt 2.53-2.75
9 Li 0.0000 0.0000 0.0000  6 Pt 2.68, 6 Ga 2.97
10 Pt 0.2827 0.9456 0.6026  7 Ga 2.53-2.75, 1 Li 2.68
11 Pt 0.6026 0.2827 0.9456  7 Ga 2.53-2.75, 1 Li 2.68
12 Pt 0.7173 0.0544 0.3974  7 Ga 2.53-2.75, 1 Li 2.68
13 Pt 0.3974 0.7173 0.0544  7 Ga 2.53-2.75, 1 Li 2.68
14 Pt 0.0544 0.3974 0.7173  7 Ga 2.53-2.75, 1 Li 2.68
15 Pt 0.9456 0.6026 0.2827  7 Ga 2.53-2.75, 1 Li 2.68

Properties
SG ... R-3
N(E_F) ... 3.16 states/eV/cell
Formation enthalpy at 0 K ... -0.65 eV/atom
Uncorrected energy ... -72.13 eV per cell